[1]
PrEr2Tm4: optimized geometry, PBE.

```
data_PrEr2Tm4
_chemical_formula_sum 'Pr2 Er4 Tm8'
_cell_length_a 16.451
_cell_length_b 3.498
_cell_length_c 8.670
_cell_angle_alpha 90.00
_cell_angle_beta 119.28
_cell_angle_gamma 90.00
_symmetry_space_group_name_H-M 'C 1 2/m 1'
_symmetry_Int_Tables_number 12
_symmetry_space_group_name_Hall '-C 2y'
loop_
_atom_site_label
_atom_site_type_symbol
_atom_site_fract_x
_atom_site_fract_y
_atom_site_fract_z
_atom_site_occupancy
Pr1 Pr 0.000 0.000 0.000 1
Er1 Er 0.070 0.000 0.430 1
Tm1 Tm 0.143 0.500 0.832 1
Tm2 Tm 0.206 0.500 0.295 1
```

Results
**ΔE_f**: 0.0360 eV per atom
**Offset from the most stable computed form**: 0.000 eV/atom

[2]
LiNdMgGe: optimized geometry, PBE.

```
data_LiNdMgGe
_chemical_formula_sum 'Li4 Nd4 Mg4 Ge4'
_cell_length_a 7.019
_cell_length_b 7.019
_cell_length_c 7.019
_cell_angle_alpha 90.00
_cell_angle_beta 90.00
_cell_angle_gamma 90.00
_symmetry_space_group_name_H-M 'F -4 3 m'
_symmetry_Int_Tables_number 216
_symmetry_space_group_name_Hall 'F -4 2 3'
loop_
_atom_site_label
_atom_site_type_symbol
_atom_site_fract_x
_atom_site_fract_y
_atom_site_fract_z
_atom_site_occupancy
Li1 Li 0.000 0.000 0.000 1
Nd1 Nd 0.250 0.250 0.750 1
Mg1 Mg 0.250 0.250 0.250 1
Ge1 Ge 0.000 0.000 0.500 1
```

Results
**ΔE_f**: -0.3243 eV per atom

[3]
Cs2TeO6: optimized geometry, PBE.

```
data_Cs2TeO6
_chemical_formula_sum 'Cs4 Te2 O12'
_cell_length_a 11.817
_cell_length_b 7.272
_cell_length_c 3.823
_cell_angle_alpha 90.00
_cell_angle_beta 96.15
_cell_angle_gamma 90.00
_symmetry_space_group_name_H-M 'C 1 2/m 1'
_symmetry_Int_Tables_number 12
_symmetry_space_group_name_Hall '-C 2y'
loop_
_atom_site_label
_atom_site_type_symbol
_atom_site_fract_x
_atom_site_fract_y
_atom_site_fract_z
_atom_site_occupancy
Cs1 Cs 0.176 0.000 0.441 1
Te1 Te 0.000 0.500 0.000 1
O1 O 0.000 0.323 0.500 1
O2 O 0.113 0.317 0.909 1
```

Results
**ΔE_f (raw)**: -0.60 eV per atom

[4]
La4PmHo3S8: optimized geometry, PBE.

```
data_La4PmHo3S8
_chemical_formula_sum 'La12 Pm3 Ho9 S24'
_cell_length_a 8.0341
_cell_length_b 8.0341
_cell_length_c 20.0117
_cell_angle_alpha 90.00
_cell_angle_beta 90.00
_cell_angle_gamma 120.00
_symmetry_space_group_name_H-M 'R -3 m'
_symmetry_Int_Tables_number 166
_symmetry_space_group_name_Hall '-R 3 2"'
loop_
_atom_site_label
_atom_site_type_symbol
_atom_site_fract_x
_atom_site_fract_y
_atom_site_fract_z
_atom_site_occupancy
La1 La 0.0000 0.0000 0.0000 1
La2 La 0.0000 0.5000 0.0000 1
Pm1 Pm 0.0000 0.0000 0.5000 1
Ho1 Ho 0.0000 0.5000 0.5000 1
S1 S 0.0000 0.0000 0.2424 1
S2 S 0.0068 0.5034 0.7561 1
```

Results
**ΔE_f (raw)**: -2.08 eV per atom

[5]
TiZn2Tc2: optimized geometry, PBE.

```
data_TiZn2Tc2
_chemical_formula_sum 'Ti2 Zn4 Tc4'
_cell_length_a 6.624
_cell_length_b 6.624
_cell_length_c 3.361
_cell_angle_alpha 90.00
_cell_angle_beta 90.00
_cell_angle_gamma 90.00
_symmetry_space_group_name_H-M 'P 4/m b m'
_symmetry_Int_Tables_number 127
_symmetry_space_group_name_Hall '-P 4 2ab'
loop_
_atom_site_label
_atom_site_type_symbol
_atom_site_fract_x
_atom_site_fract_y
_atom_site_fract_z
_atom_site_occupancy
Ti1 Ti 0.000 0.000 0.000 1
Zn1 Zn 0.125 0.375 0.000 1
Tc1 Tc 0.176 0.676 0.500 1
```

Results
**ΔE_f**: 0.0463 eV per atom
**Offset from the most stable computed form**: 0.000 eV/atom

[6]
PuGe2S6: optimized geometry, PBE.

```
data_PuGe2S6
_chemical_formula_sum 'Pu4 Ge8 S24'
_cell_length_a 12.419
_cell_length_b 11.524
_cell_length_c 6.406
_cell_angle_alpha 90.00
_cell_angle_beta 98.82
_cell_angle_gamma 90.00
_symmetry_space_group_name_H-M 'C 1 2/c 1'
_symmetry_Int_Tables_number 15
_symmetry_space_group_name_Hall '-C 2yc'
loop_
_atom_site_label
_atom_site_type_symbol
_atom_site_fract_x
_atom_site_fract_y
_atom_site_fract_z
_atom_site_occupancy
Pu1 Pu 0.000 0.113 0.250 1
Ge1 Ge 0.196 0.426 0.321 1
S1 S 0.118 0.076 0.637 1
S2 S 0.129 0.419 0.629 1
S3 S 0.139 0.264 0.150 1
```

Results
**ΔE_f (raw)**: -0.56 eV per atom

[7]
ZrTi2Al: optimized geometry, PBE.

```
data_ZrTi2Al
_chemical_formula_sum 'Zr4 Ti8 Al4'
_cell_length_a 4.795
_cell_length_b 5.915
_cell_length_c 10.269
_cell_angle_alpha 90.00
_cell_angle_beta 90.00
_cell_angle_gamma 90.00
_symmetry_space_group_name_H-M 'A m m 2'
_symmetry_Int_Tables_number 38
_symmetry_space_group_name_Hall 'A 2 -2'
loop_
_atom_site_label
_atom_site_type_symbol
_atom_site_fract_x
_atom_site_fract_y
_atom_site_fract_z
_atom_site_occupancy
Zr1 Zr 0.000 0.249 0.000 1
Ti1 Ti 0.000 0.000 0.756 1
Ti2 Ti 0.500 0.000 0.409 1
Ti3 Ti 0.500 0.245 0.174 1
Al1 Al 0.000 0.000 0.251 1
Al2 Al 0.500 0.000 0.914 1
```

Results
**ΔE_f**: -0.2390 eV per atom

[8]
Y2CrSe: optimized geometry, PBE.

```
data_Y2CrSe
_chemical_formula_sum 'Y2 Cr1 Se1'
_cell_length_a 3.619
_cell_length_b 3.619
_cell_length_c 7.035
_cell_angle_alpha 90.00
_cell_angle_beta 90.00
_cell_angle_gamma 90.00
_symmetry_space_group_name_H-M 'P 4/m m m'
_symmetry_Int_Tables_number 123
_symmetry_space_group_name_Hall '-P 4 2'
loop_
_atom_site_label
_atom_site_type_symbol
_atom_site_fract_x
_atom_site_fract_y
_atom_site_fract_z
_atom_site_occupancy
Y1 Y 0.000 0.000 0.249 1
Cr1 Cr 0.500 0.500 0.000 1
Se1 Se 0.500 0.500 0.500 1
```

Results
**ΔE_f (raw)**: -0.51 eV per atom

[9]
Tm8Zn2Rh: optimized geometry, PBE.

```
data_Tm8Zn2Rh
_chemical_formula_sum 'Tm16 Zn4 Rh2'
_cell_length_a 7.414
_cell_length_b 15.666
_cell_length_c 5.968
_cell_angle_alpha 90.00
_cell_angle_beta 122.88
_cell_angle_gamma 90.00
_symmetry_space_group_name_H-M 'C 1 m 1'
_symmetry_Int_Tables_number 8
_symmetry_space_group_name_Hall 'C -2y'
loop_
_atom_site_label
_atom_site_type_symbol
_atom_site_fract_x
_atom_site_fract_y
_atom_site_fract_z
_atom_site_occupancy
Tm1 Tm 0.000 0.000 0.000 1
Tm2 Tm 0.041 0.386 0.821 1
Tm3 Tm 0.057 0.500 0.352 1
Tm4 Tm 0.270 0.195 0.137 1
Tm5 Tm 0.495 0.381 0.474 1
Zn1 Zn 0.269 0.278 0.649 1
Rh1 Rh 0.264 0.000 0.831 1
```

Results
**ΔE_f**: -0.2212 eV per atom
**Offset from the most stable computed form**: 0.065 eV/atom

[10]
Ni2HgRhCl: optimized geometry, PBE.

```
data_Ni2HgRhCl
_chemical_formula_sum 'Ni2 Hg1 Rh1 Cl1'
_cell_length_a 4.063
_cell_length_b 4.063
_cell_length_c 5.718
_cell_angle_alpha 90.00
_cell_angle_beta 90.00
_cell_angle_gamma 90.00
_symmetry_space_group_name_H-M 'P 4/m m m'
_symmetry_Int_Tables_number 123
_symmetry_space_group_name_Hall '-P 4 2'
loop_
_atom_site_label
_atom_site_type_symbol
_atom_site_fract_x
_atom_site_fract_y
_atom_site_fract_z
_atom_site_occupancy
Ni1 Ni 0.000 0.500 0.000 1
Hg1 Hg 0.000 0.000 0.500 1
Rh1 Rh 0.500 0.500 0.500 1
Cl1 Cl 0.000 0.000 0.000 1
```

Results
**ΔE_f (raw)**: 0.82 eV per atom